# NiSbF3

A geometry-optimized NiSbF3 structure (GGA+U, Alexandria via LeMat-Bulk).

Computed properties:
- mass density (g/cm3) = 4.8
- VASP energy (eV/atom) = -3.1991
- crystal system = cubic
- excess energy over the best structure of this formula in the dataset (meV/atom) = 593

The structure in CIF format:
```
data_NiSbF3
_chemical_formula_sum 'Ni1 Sb1 F3'
_cell_length_a 4.3509
_cell_length_b 4.3509
_cell_length_c 4.3509
_cell_angle_alpha 90.00
_cell_angle_beta 90.00
_cell_angle_gamma 90.00
_space_group_name_H-M_alt 'P m -3 m'
_space_group_IT_number 221
_space_group_name_Hall '-P 4 2 3'
loop_
_atom_site_label
_atom_site_fract_x
_atom_site_fract_y
_atom_site_fract_z
_atom_site_occupancy
Ni1 0.0000 0.0000 0.0000 1
Sb1 0.5000 0.5000 0.5000 1
F1 0.0000 0.5000 0.5000 1
```